Entry 1:
The following is a meta-GGA SCAN calculation of a PBEsol-optimized structure of LiFeF4, from Alexandria.

a b c (Å): 6.381 6.705 3.041
angles (deg): 90.00 90.00 90.00
Space group Cmmm (No. 65)
Inequivalent atoms, fractional coordinates:
Li1 0.000 0.000 0.000 x2
Fe1 0.000 0.500 0.500 x2
F1 0.000 0.308 0.000 x4
F2 0.206 0.000 0.500 x4

Magnetization: 1.000 μB/f.u.
Electronic total energy: -0.3059 hartree per atom
V: 10.84 A^3/atom
Uncorrected formation energy: -246 kJ/mol of atoms

***

Entry 2:
The following is a meta-GGA SCAN calculation of a PBEsol-optimized structure of La5Sb3Br, from Alexandria.

a b c (Å): 9.5291 9.5291 6.6608
angles (deg): 90.00 90.00 120.00
Space group P6_3/mcm (No. 193)
Inequivalent atoms, fractional coordinates:
La1 0.0000 0.2738 0.2500 x6
La2 0.3333 0.6667 0.0000 x4
Sb1 0.0000 0.3829 0.7500 x6
Br1 0.0000 0.0000 0.0000 x2

Magnetization: 0.000 μB/f.u.
Electronic total energy: -1.4666 hartree per atom
V: 29.10 A^3/atom
Uncorrected formation energy: -133 kJ/mol of atoms

***

Entry 3:
The following is a meta-GGA SCAN calculation of a PBEsol-optimized structure of LiCu, from Alexandria.

a b c (Å): 2.516 2.516 3.842
angles (deg): 90.00 90.00 90.00
Space group P4/mmm (No. 123)
Inequivalent atoms, fractional coordinates:
Li1 0.000 0.000 0.000 x1
Cu1 0.500 0.500 0.500 x1

Formation energy from the elements: 1 kJ/mol of formula units
Magnetization: 0.000 μB/f.u.
Electronic total energy: -0.3229 hartree per atom
V: 12.16 A^3/atom

***

Entry 4:
The following is a meta-GGA SCAN calculation of a PBEsol-optimized structure of In4SbTe3, from Alexandria.

a b c (Å): 6.095 6.095 12.278
angles (deg): 90.00 90.00 90.00
Space group I4/mmm (No. 139)
Inequivalent atoms, fractional coordinates:
In1 0.000 0.000 0.246 x4
In2 0.000 0.500 0.000 x4
Sb1 0.000 0.000 0.000 x2
Te1 0.000 0.000 0.500 x2
Te2 0.000 0.500 0.250 x4

Magnetization: 0.000 μB/f.u.
Electronic total energy: -1.3069 hartree per atom
V: 28.51 A^3/atom
Uncorrected formation energy: -23 kJ/mol of atoms

***

Entry 5:
The following is a meta-GGA SCAN calculation of a PBEsol-optimized structure of FeHgBr2, from Alexandria.

a b c (Å): 3.200 3.200 8.503
angles (deg): 90.00 90.00 90.00
Space group P4mm (No. 99)
Inequivalent atoms, fractional coordinates:
Fe1 0.000 0.000 0.000 x1
Hg1 0.500 0.500 0.225 x1
Br1 0.000 0.000 0.481 x1
Br2 0.500 0.500 0.837 x1

Magnetization: 3.740 μB/f.u.
Electronic total energy: -1.1476 hartree per atom
V: 21.77 A^3/atom
Uncorrected formation energy: 7 kJ/mol of atoms

***

Entry 6:
The following is a meta-GGA SCAN calculation of a PBEsol-optimized structure of MnCdTe2, from Alexandria.

a b c (Å): 12.046 3.863 4.831
angles (deg): 90.00 105.57 90.00
Space group Cm (No. 8)
Inequivalent atoms, fractional coordinates:
Mn1 0.000 0.000 0.000 x2
Cd1 0.124 0.000 0.614 x2
Te1 0.156 0.500 0.161 x2
Te2 0.376 0.000 0.717 x2

Magnetization: 3.383 μB/f.u.
Electronic total energy: -1.1393 hartree per atom
V: 27.07 A^3/atom
Uncorrected formation energy: -20 kJ/mol of atoms

***

Entry 7:
The following is a meta-GGA SCAN calculation of a PBEsol-optimized structure of Zr6FeSn2H10, from Alexandria.

a b c (Å): 8.0498 8.0498 7.2282
angles (deg): 90.00 90.00 120.00
Space group P-62c (No. 190)
Inequivalent atoms, fractional coordinates:
Zr1 0.0000 0.2544 0.0000 x6
Zr2 0.0469 0.6265 0.2500 x6
Fe1 0.0000 0.0000 0.2500 x2
Sn1 0.3333 0.6667 0.5415 x4
H1 0.0000 0.0000 0.0000 x2
H2 0.0000 0.7227 0.0000 x6
H3 0.1103 0.4032 0.2500 x6
H4 0.1184 0.2370 0.7500 x6

Magnetization: 1.672 μB/f.u.
Electronic total energy: -0.6159 hartree per atom
V: 10.67 A^3/atom

***

Entry 8:
The following is a meta-GGA SCAN calculation of a PBEsol-optimized structure of AlMo2As, from Alexandria.

a b c (Å): 5.524 8.232 2.839
angles (deg): 90.00 110.24 90.00
Space group C2/m (No. 12)
Inequivalent atoms, fractional coordinates:
Al1 0.000 0.000 0.000 x2
Mo1 0.250 0.250 0.500 x4
As1 0.000 0.500 0.000 x2

Formation energy from the elements: 37 kJ/mol of formula units
Magnetization: 0.000 μB/f.u.
Electronic total energy: -0.8942 hartree per atom
V: 15.14 A^3/atom